Entry 1:
DFT (PBE) results for an optimized crystal structure of La6Hg3N.

Cell and atoms, written as POSCAR:
```
La6Hg3N
1.0
5.848 -3.816 0.000
5.848 3.816 0.000
-2.205 0.000 6.780
La Hg N
6 3 1
Direct
0.122 0.686 0.667
0.188 0.188 0.839
0.314 0.878 0.333
0.686 0.122 0.667
0.812 0.812 0.161
0.878 0.314 0.333
0.350 0.350 0.308
0.500 0.500 0.000
0.650 0.650 0.692
0.000 0.000 0.500
```

For the uncorrected formation energy, the calculation gives -477 meV/atom. The symmetry is C2/m (12). The calculation puts the total magnetization at 0.000 μB/f.u. As for the total energy: -4.356 eV per atom.

---

Entry 2:
DFT (PBE) results for an optimized crystal structure of La12Hg5N2.

Cell and atoms, written as POSCAR:
```
La12Hg5N2
1.0
8.703 -3.821 0.000
8.703 3.821 0.000
-2.866 0.000 9.580
La Hg N
12 5 2
Direct
0.001 0.001 0.178
0.103 0.599 0.917
0.104 0.596 0.423
0.401 0.897 0.083
0.404 0.896 0.577
0.492 0.492 0.170
0.508 0.508 0.830
0.596 0.104 0.423
0.599 0.103 0.917
0.896 0.404 0.577
0.897 0.401 0.083
0.999 0.999 0.822
0.188 0.188 0.841
0.195 0.195 0.361
0.500 0.500 0.500
0.805 0.805 0.639
0.812 0.812 0.159
0.247 0.753 0.000
0.753 0.247 0.000
```

For the uncorrected formation energy, the calculation gives -406 meV/atom. The symmetry is C2/m (12). The calculation puts the total magnetization at 0.000 μB/f.u. As for the total energy: -4.474 eV per atom.

---

Entry 3:
DFT (PBE) results for an optimized crystal structure of La5Hg2N2.

Cell and atoms, written as POSCAR:
```
La5Hg2N2
1.0
-9.503 3.727 3.636
9.503 -3.727 3.636
9.503 3.727 -3.636
La Hg N
10 4 4
Direct
0.040 0.142 0.399
0.223 0.412 0.090
0.223 0.634 0.311
0.244 0.011 0.255
0.244 0.489 0.733
0.322 0.134 0.910
0.322 0.912 0.689
0.743 0.642 0.601
0.756 0.511 0.267
0.756 0.989 0.745
0.726 0.133 0.377
0.726 0.849 0.093
0.756 0.349 0.623
0.756 0.633 0.907
0.141 0.966 0.675
0.251 0.251 0.000
0.251 0.751 0.500
0.291 0.466 0.325
```

For the uncorrected formation energy, the calculation gives -815 meV/atom. The symmetry is Ima2 (46). The calculation puts the total magnetization at 0.000 μB/f.u. As for the total energy: -5.470 eV per atom.

---

Entry 4:
DFT (PBE) results for an optimized crystal structure of La6HgN3.

Cell and atoms, written as POSCAR:
```
La6HgN3
1.0
4.730 -6.964 0.000
4.730 6.964 0.000
0.000 0.000 3.862
La Hg N
6 1 3
Direct
0.187 0.813 0.000
0.194 0.450 0.500
0.450 0.194 0.500
0.550 0.806 0.500
0.806 0.550 0.500
0.813 0.187 0.000
0.000 0.000 0.500
0.000 0.500 0.000
0.500 0.000 0.000
0.500 0.500 0.500
```

For the uncorrected formation energy, the calculation gives -751 meV/atom. The symmetry is Cmmm (65). The calculation puts the total magnetization at 0.002 μB/f.u. As for the total energy: -6.236 eV per atom.

---

Entry 5:
DFT (PBE) results for an optimized crystal structure of La7Hg2N2.

Cell and atoms, written as POSCAR:
```
La7Hg2N2
1.0
5.855 -3.822 0.000
5.855 3.822 0.000
-0.569 0.000 6.836
La Hg N
7 2 2
Direct
0.000 0.000 0.000
0.049 0.497 0.768
0.433 0.433 0.199
0.497 0.049 0.768
0.503 0.951 0.232
0.567 0.567 0.801
0.951 0.503 0.232
0.184 0.816 0.500
0.816 0.184 0.500
0.226 0.226 0.021
0.774 0.774 0.979
```

For the uncorrected formation energy, the calculation gives -557 meV/atom. The symmetry is C2/m (12). The calculation puts the total magnetization at 0.000 μB/f.u. As for the total energy: -5.261 eV per atom.

---

Entry 6:
DFT (PBE) results for an optimized crystal structure of La3HgN2.

Cell and atoms, written as POSCAR:
```
La3HgN2
1.0
3.597 0.000 0.000
0.000 12.152 0.000
0.000 0.000 6.352
La Hg N
6 2 4
Direct
0.000 0.084 0.000
0.000 0.916 0.500
0.500 0.165 0.514
0.500 0.368 0.897
0.500 0.632 0.397
0.500 0.835 0.014
0.000 0.388 0.343
0.000 0.612 0.843
0.000 0.254 0.768
0.000 0.746 0.268
0.500 0.000 0.263
0.500 0.000 0.763
```

For the uncorrected formation energy, the calculation gives -982 meV/atom. The symmetry is Pmc2_1 (26). For the energy above the most stable polymorph in this dataset, the calculation gives 54 meV/atom. The calculation puts the total magnetization at 0.239 μB/f.u. As for the total energy: -6.271 eV per atom.